CrCoOs2 PBE optimized geometry; symmetry = Cmmm (65); energy above the most stable polymorph in this dataset = 0.3215 eV/atom; volume = 53.32 Å³/f.u.
1.0
2.617 0.004 0.000
-1.129 2.361 0.000
0.000 0.000 8.620
Co Cr Os
1 1 2
Direct
0.500 0.500 0.250 Co
0.500 0.500 0.750 Cr
0.000 0.000 0.996 Os
0.000 0.000 0.504 Os



CrCoOs PBE optimized geometry; symmetry = Ima2 (46); energy above the most stable polymorph in this dataset = 0.1929 eV/atom; volume = 37.46 Å³/f.u.
1.0
-3.729 0.861 4.456
-4.788 -5.021 0.834
0.975 -4.200 5.500
Co Cr Os
6 6 6
Direct
0.004 0.664 0.556 Co
0.224 0.944 0.836 Co
0.004 0.056 0.164 Co
0.224 0.336 0.444 Co
0.500 0.000 0.000 Co
0.500 0.500 0.500 Co
0.578 0.160 0.196 Cr
0.578 0.696 0.660 Cr
0.303 0.699 0.199 Cr
0.934 0.304 0.340 Cr
0.200 0.301 0.801 Cr
0.934 0.840 0.804 Cr
0.796 0.269 0.769 Os
0.637 0.076 0.576 Os
0.834 0.731 0.231 Os
0.782 0.510 0.010 Os
0.289 0.924 0.424 Os
0.302 0.490 0.990 Os



Cr2CoOs2 PBE optimized geometry; symmetry = P4/mbm (127); energy above the most stable polymorph in this dataset = 0.0222 eV/atom; volume = 66.89 Å³/f.u.
1.0
-5.309 4.567 -0.026
-3.377 -3.952 -4.693
-1.198 -1.381 2.025
Cr Os Co
4 4 2
Direct
0.369 0.869 0.000 Cr
0.631 0.131 0.000 Cr
0.869 0.631 0.000 Cr
0.131 0.369 0.000 Cr
0.833 0.333 0.500 Os
0.667 0.833 0.500 Os
0.167 0.667 0.500 Os
0.333 0.167 0.500 Os
0.500 0.500 0.000 Co
0.000 0.000 0.000 Co



Cr2CoOs PBE optimized geometry; symmetry = P4/mmm (123); volume = 48.18 Å³/f.u.
1.0
-3.549 -0.039 0.660
0.533 -2.378 2.722
0.405 2.774 2.343
Cr Os Co
2 1 1
Direct
0.000 0.000 0.000 Cr
0.000 0.500 0.500 Cr
0.500 0.500 0.000 Os
0.500 0.000 0.500 Co



CrCoOs2 PBE optimized geometry; symmetry = Fm-3m (225); energy above the most stable polymorph in this dataset = 0.2215 eV/atom; volume = 51.61 Å³/f.u.
1.0
0.000 2.955 2.955
2.955 0.000 2.955
2.955 2.955 0.000
Co Os Cr
1 2 1
Direct
0.500 0.500 0.500 Co
0.750 0.750 0.750 Os
0.250 0.250 0.250 Os
0.000 0.000 0.000 Cr



CrCoOs2 PBE optimized geometry; symmetry = Pmmm (47); energy above the most stable polymorph in this dataset = 0.0678 eV/atom; volume = 51.26 Å³/f.u.
1.0
2.642 0.000 0.000
0.000 3.659 0.000
0.000 0.000 5.302
Os Co Cr
2 1 1
Direct
0.000 0.000 0.002 Os
0.000 0.000 0.498 Os
0.500 0.500 0.250 Co
0.500 0.500 0.750 Cr



no.,formation energy (kJ/mol of atoms)
1,36.9
2,25.8
3,36.8
4,5.1
5,27.2
6,12.4